Entry 1:
# YGaPt (GGA-PBE, relaxed)
# Formation energy from the elements, eV/atom: -0.82
data_YGaPt
_chemical_formula_sum 'Y2 Ga2 Pt2'
_cell_length_a 3.425
_cell_length_b 3.425
_cell_length_c 10.135
_cell_angle_alpha 90.00
_cell_angle_beta 90.00
_cell_angle_gamma 90.00
_symmetry_space_group_name_H-M 'I 4 m m'
_symmetry_Int_Tables_number 107
_symmetry_space_group_name_Hall 'I 4 -2'
loop_
_atom_site_label
_atom_site_fract_x
_atom_site_fract_y
_atom_site_fract_z
_atom_site_occupancy
Y1 0.000 0.000 0.000 1
Ga1 0.000 0.000 0.697 1
Pt1 0.000 0.000 0.314 1

=====

Entry 2:
# Sm2SiAg (GGA-PBE, relaxed)
# Uncorrected formation energy, eV per atom: -0.46
data_Sm2SiAg
_chemical_formula_sum 'Sm4 Si2 Ag2'
_cell_length_a 6.116
_cell_length_b 4.392
_cell_length_c 8.062
_cell_angle_alpha 90.00
_cell_angle_beta 111.06
_cell_angle_gamma 90.00
_symmetry_space_group_name_H-M 'P 1 21/m 1'
_symmetry_Int_Tables_number 11
_symmetry_space_group_name_Hall '-P 2yb'
loop_
_atom_site_label
_atom_site_fract_x
_atom_site_fract_y
_atom_site_fract_z
_atom_site_occupancy
Sm1 0.203 0.250 0.424 1
Sm2 0.221 0.250 0.930 1
Si1 0.332 0.750 0.710 1
Ag1 0.360 0.750 0.219 1

=====

Entry 3:
# LiNpNiSn (GGA-PBE, relaxed)
# Formation energy from the elements, eV/atom: -0.12
data_LiNpNiSn
_chemical_formula_sum 'Li4 Np4 Ni4 Sn4'
_cell_length_a 6.605
_cell_length_b 6.605
_cell_length_c 6.605
_cell_angle_alpha 90.00
_cell_angle_beta 90.00
_cell_angle_gamma 90.00
_symmetry_space_group_name_H-M 'F -4 3 m'
_symmetry_Int_Tables_number 216
_symmetry_space_group_name_Hall 'F -4 2 3'
loop_
_atom_site_label
_atom_site_fract_x
_atom_site_fract_y
_atom_site_fract_z
_atom_site_occupancy
Li1 0.000 0.000 0.000 1
Np1 0.250 0.250 0.250 1
Ni1 0.000 0.000 0.500 1
Sn1 0.250 0.250 0.750 1

=====

Entry 4:
# LuZrAl2 (GGA-PBE, relaxed)
# Formation energy from the elements, eV/atom: -0.30
data_LuZrAl2
_chemical_formula_sum 'Lu4 Zr4 Al8'
_cell_length_a 6.902
_cell_length_b 6.902
_cell_length_c 6.902
_cell_angle_alpha 90.00
_cell_angle_beta 90.00
_cell_angle_gamma 90.00
_symmetry_space_group_name_H-M 'F m -3 m'
_symmetry_Int_Tables_number 225
_symmetry_space_group_name_Hall '-F 4 2 3'
loop_
_atom_site_label
_atom_site_fract_x
_atom_site_fract_y
_atom_site_fract_z
_atom_site_occupancy
Lu1 0.000 0.000 0.000 1
Zr1 0.000 0.000 0.500 1
Al1 0.250 0.250 0.250 1

=====

Short version: density of states at the Fermi level = 0.64; 1.03; 1.50; 0.94 states/eV/atom, in the order given.